{"formula": "Cs2Tm2MgW4O16", "functional": "GGA+U", "state": "relaxed", "lattice": [[7.530, 0.000, 0.000], [-3.301, 6.802, 0.000], [-3.511, -1.791, 6.879]], "species": ["Cs", "Cs", "Tm", "Tm", "Mg", "W", "W", "W", "W", "O", "O", "O", "O", "O", "O", "O", "O", "O", "O", "O", "O", "O", "O", "O", "O"], "fractional_positions": [[0.000, 0.000, 0.000], [0.472, 0.434, 0.569], [0.462, 0.914, 0.003], [0.995, 0.448, 0.607], [0.658, 0.277, 0.879], [0.081, 0.521, 0.145], [0.449, 0.923, 0.492], [0.559, 0.521, 0.109], [0.948, 0.902, 0.508], [0.047, 0.175, 0.585], [0.103, 0.819, 0.726], [0.180, 0.970, 0.437], [0.219, 0.628, 0.446], [0.295, 0.810, 0.182], [0.330, 0.454, 0.182], [0.386, 0.595, 0.887], [0.460, 0.245, 0.008], [0.543, 0.994, 0.772], [0.636, 0.176, 0.477], [0.694, 0.843, 0.552], [0.716, 0.835, 0.219], [0.783, 0.574, 0.385], [0.803, 0.575, 0.047], [0.880, 0.265, 0.150], [0.944, 0.435, 0.856]], "e_above_lowest_polymorph_mev_per_atom": 17, "total_energy_ev_per_atom": -7.15}